No. 1
A plane-wave DFT calculation with PBE was carried out for a relaxed structure of Ta2PdRh.

Lattice parameters (Å, degrees): 2.8007 2.8627 8.5299 90.00 90.00 90.00
Space group Pmmm (No. 47)
Inequivalent atoms, fractional coordinates:
Ta (0.0000, 0.0000, 0.2264)
Pd (0.0000, 0.5000, 0.5000)
Rh (0.5000, 0.5000, 0.0000)

## Properties
The formation enthalpy at 0 K is -0.086 eV/atom. As for the total magnetic moment: 0.000 μB per atom.

=====

No. 2
A plane-wave DFT calculation with PBE was carried out for a relaxed structure of Ta4PdRh3.

Lattice parameters (Å, degrees): 9.1830 5.7126 4.9064 90.00 90.00 90.00
Space group Pmma (No. 51)
Inequivalent atoms, fractional coordinates:
Ta (0.0000, 0.2484, 0.0000)
Ta (0.2500, 0.2460, 0.3642)
Pd (0.0000, 0.5000, 0.5000)
Rh (0.0000, 0.0000, 0.5000)
Rh (0.2500, 0.0000, 0.8593)
Rh (0.2500, 0.5000, 0.8576)

## Properties
The formation enthalpy at 0 K is -0.413 eV/atom. As for the total magnetic moment: 0.000 μB per atom.

=====

No. 3
A plane-wave DFT calculation with PBE was carried out for a relaxed structure of TaPd3Rh.

Lattice parameters (Å, degrees): 4.7499 4.7499 4.7499 90.00 90.00 90.00
Space group Pm-3m (No. 221)
Inequivalent atoms, fractional coordinates:
Ta (0.0000, 0.0000, 0.0000)
Pd (0.0000, 0.0000, 0.5000)
Rh (0.5000, 0.5000, 0.5000)

## Properties
The formation enthalpy at 0 K is 1.176 eV/atom. As for the total magnetic moment: 0.135 μB per atom.

=====

No. 4
A plane-wave DFT calculation with PBE was carried out for a relaxed structure of Ta2Pd2Rh.

Lattice parameters (Å, degrees): 7.3843 7.3843 3.0459 90.00 90.00 90.00
Space group P4/mbm (No. 127)
Inequivalent atoms, fractional coordinates:
Ta (0.1763, 0.3237, 0.0000)
Pd (0.1257, 0.6257, 0.5000)
Rh (0.0000, 0.0000, 0.5000)

## Properties
The formation enthalpy at 0 K is -0.126 eV/atom. As for the total magnetic moment: 0.000 μB per atom.

=====

No. 5
A plane-wave DFT calculation with PBE was carried out for a relaxed structure of Ta2PdRh2.

Lattice parameters (Å, degrees): 7.6312 7.6312 2.8999 90.00 90.00 90.00
Space group P4/mbm (No. 127)
Inequivalent atoms, fractional coordinates:
Ta (0.1574, 0.3426, 0.0000)
Pd (0.0000, 0.0000, 0.0000)
Rh (0.1371, 0.6371, 0.5000)

## Properties
The formation enthalpy at 0 K is -0.243 eV/atom. As for the total magnetic moment: 0.000 μB per atom.

=====

No. 6
A plane-wave DFT calculation with PBE was carried out for a relaxed structure of Ta3Pd2Rh3.

Lattice parameters (Å, degrees): 3.9611 3.9788 7.9442 90.00 90.00 90.00
Space group Pmmm (No. 47)
Inequivalent atoms, fractional coordinates:
Ta (0.0000, 0.0000, 0.0000)
Ta (0.0000, 0.5000, 0.2653)
Pd (0.5000, 0.0000, 0.2525)
Rh (0.0000, 0.0000, 0.5000)
Rh (0.5000, 0.5000, 0.0000)
Rh (0.5000, 0.5000, 0.5000)

## Properties
The formation enthalpy at 0 K is -0.441 eV/atom. As for the total magnetic moment: 0.000 μB per atom.

=====

No. 7
A plane-wave DFT calculation with PBE was carried out for a relaxed structure of Ta2PdRh2.

Lattice parameters (Å, degrees): 7.3889 7.3889 3.0214 90.00 90.00 90.00
Space group P4/mbm (No. 127)
Inequivalent atoms, fractional coordinates:
Ta (0.1682, 0.3318, 0.0000)
Pd (0.0000, 0.0000, 0.5000)
Rh (0.1334, 0.6334, 0.5000)

## Properties
The formation enthalpy at 0 K is -0.391 eV/atom. As for the total magnetic moment: 0.000 μB per atom.

=====

No. 8
A plane-wave DFT calculation with PBE was carried out for a relaxed structure of TaPdRh3.

Lattice parameters (Å, degrees): 4.6321 4.6321 4.6321 90.00 90.00 90.00
Space group Pm-3m (No. 221)
Inequivalent atoms, fractional coordinates:
Ta (0.0000, 0.0000, 0.0000)
Pd (0.5000, 0.5000, 0.5000)
Rh (0.0000, 0.5000, 0.5000)

## Properties
The formation enthalpy at 0 K is 1.618 eV/atom. As for the total magnetic moment: 0.123 μB per atom.

=====

No. 9
A plane-wave DFT calculation with PBE was carried out for a relaxed structure of TaPdRh.

Lattice parameters (Å, degrees): 4.5071 7.8209 5.3964 90.00 90.00 90.00
Space group Cmcm (No. 63)
Inequivalent atoms, fractional coordinates:
Ta (0.0000, 0.1666, 0.2500)
Pd (0.0000, 0.5000, 0.0000)
Rh (0.0000, 0.1664, 0.7500)

## Properties
The formation enthalpy at 0 K is -0.437 eV/atom. As for the total magnetic moment: 0.000 μB per atom.

=====

No. 10
A plane-wave DFT calculation with PBE was carried out for a relaxed structure of Ta2PdRh4.

Lattice parameters (Å, degrees): 4.7395 4.7395 12.5476 90.00 90.00 90.00
Space group I4/mmm (No. 139)
Inequivalent atoms, fractional coordinates:
Ta (0.0000, 0.0000, 0.1135)
Pd (0.0000, 0.0000, 0.5000)
Rh (0.0000, 0.0000, 0.2936)
Rh (0.0000, 0.5000, 0.0000)

## Properties
The formation enthalpy at 0 K is 0.859 eV/atom. As for the total magnetic moment: 0.000 μB per atom.

=====

No. 11
A plane-wave DFT calculation with PBE was carried out for a relaxed structure of TaPdRh.

Lattice parameters (Å, degrees): 4.4256 4.4256 2.8080 90.00 90.00 120.00
Space group P3m1 (No. 156)
Inequivalent atoms, fractional coordinates:
Ta (0.0000, 0.0000, 0.0000)
Pd (0.3333, 0.6667, 0.6783)
Rh (0.6667, 0.3333, 0.2454)

## Properties
The formation enthalpy at 0 K is -0.332 eV/atom. As for the total magnetic moment: 0.000 μB per atom.

=====

No. 12
A plane-wave DFT calculation with PBE was carried out for a relaxed structure of TaPd3Rh.

Lattice parameters (Å, degrees): 5.6737 8.9692 4.8182 90.00 121.29 90.00
Space group C2/m (No. 12)
Inequivalent atoms, fractional coordinates:
Ta (0.0000, 0.0000, 0.0000)
Pd (0.0000, 0.5000, 0.0000)
Pd (0.2500, 0.2500, 0.0000)
Rh (0.0000, 0.0000, 0.5000)

## Properties
The formation enthalpy at 0 K is 0.505 eV/atom. As for the total magnetic moment: 0.000 μB per atom.